ErAlFe4: optimized geometry, PBE-GGA.

a b c (Å): 7.704 7.704 5.606
angles (deg): 90.00 90.00 148.67
Positions (direct):
Er (0.130, 0.870, 0.750)
Er (0.870, 0.130, 0.250)
Al (0.220, 0.780, 0.250)
Al (0.780, 0.220, 0.750)
Fe (0.055, 0.945, 0.250)
Fe (0.339, 0.661, 0.556)
Fe (0.339, 0.661, 0.944)
Fe (0.500, 0.500, 0.000)
Fe (0.500, 0.500, 0.500)
Fe (0.661, 0.339, 0.056)
Fe (0.661, 0.339, 0.444)
Fe (0.945, 0.055, 0.750)

Output
M_tot	2.47	μB/f.u.
DFT total energy	-6.939	eV/atom

=====

SrZn3Rh: optimized geometry, PBE-GGA.

a b c (Å): 4.372 5.908 9.314
angles (deg): 71.92 76.45 68.36
Positions (direct):
Sr (0.146, 0.488, 0.219)
Sr (0.854, 0.512, 0.781)
Zn (0.104, 0.930, 0.862)
Zn (0.198, 0.039, 0.563)
Zn (0.500, 0.000, 0.000)
Zn (0.500, 0.500, 0.500)
Zn (0.802, 0.961, 0.437)
Zn (0.896, 0.070, 0.138)
Rh (0.401, 0.901, 0.298)
Rh (0.599, 0.099, 0.702)

Output
M_tot	0.00	μB/f.u.
offset from the most stable computed form	0	meV per atom

=====

Tm3Tl3Ag2: optimized geometry, PBE-GGA.

a b c (Å): 7.847 7.847 3.717
angles (deg): 90.00 90.00 120.00
Positions (direct):
Tm (0.000, 0.601, 0.000)
Tm (0.399, 0.399, 0.000)
Tm (0.601, 0.000, 0.000)
Tl (0.000, 0.245, 0.500)
Tl (0.245, 0.000, 0.500)
Tl (0.755, 0.755, 0.500)
Ag (0.333, 0.667, 0.500)
Ag (0.667, 0.333, 0.500)

Output
M_tot	0.00	μB/f.u.
DFT total energy	-3.543	eV/atom